Record 1
VASP calculation (PBE-GGA) on a geometry-optimized ZnCo2W structure.

Calculated values
Calculated formation energy   0.23 eV per atom
SG   R3m, No. 160

Unit cell a=8.6548 b=8.6548 c=8.6548 alpha=17.76 beta=17.76 gamma=17.76
With the nearest neighbours (Å) after each atom.
Fractional positions:
W 0.5052 0.5052 0.5052  3 Co 2.62, 6 W 2.67, 3 Zn 2.87
Co 0.2547 0.2547 0.2547  9 Co 2.46-2.67, 3 W 2.62
Co 0.9962 0.9962 0.9962  9 Co 2.46-2.67, 3 Zn 2.58
Zn 0.7439 0.7439 0.7439  3 Co 2.58, 6 Zn 2.67, 3 W 2.87

Record 2
VASP calculation (PBE-GGA) on a geometry-optimized Pr3Sm5Pb2 structure.

Calculated values
Calculated formation energy   -0.02 eV per atom
SG   Ibam, No. 72

Unit cell a=6.6152 b=10.8182 c=10.8182 alpha=94.52 beta=72.20 gamma=72.20
With the nearest neighbours (Å) after each atom.
Fractional positions:
Pb 0.1392 0.7119 0.0096  3 Sm 3.06-3.25, 2 Pr 3.42
Pb 0.8608 0.2881 0.9904  3 Sm 3.06-3.25, 2 Pr 3.42
Pb 0.6392 0.0096 0.7119  3 Sm 3.06-3.25, 2 Pr 3.42
Pb 0.3608 0.9904 0.2881  3 Sm 3.06-3.25, 2 Pr 3.42
Pr 0.1291 0.0955 0.6462  4 Sm 3.45-3.79, 4 Pb 3.52-3.72
Pr 0.8709 0.9045 0.3538  4 Sm 3.45-3.79, 4 Pb 3.52-3.72
Pr 0.6291 0.6462 0.0955  4 Sm 3.45-3.79, 4 Pb 3.52-3.72
Pr 0.3709 0.3538 0.9045  4 Sm 3.45-3.79, 4 Pb 3.52-3.72
Pr 0.2500 0.0000 0.0000  2 Pr 3.31, 2 Sm 3.33, 4 Pb 3.42
Pr 0.7500 0.0000 0.0000  2 Pr 3.31, 2 Sm 3.33, 4 Pb 3.42
Sm 0.4961 0.2539 0.2539  3 Sm 3.23-3.31, 2 Pb 3.25, 1 Pr 3.33
Sm 0.9050 0.4328 0.7572  1 Pb 3.06, 2 Sm 3.31
Sm 0.2500 0.5000 0.5000  8 Sm 3.23-3.31
Sm 0.5950 0.2428 0.5672  1 Pb 3.06, 2 Sm 3.31
Sm 0.4050 0.7572 0.4328  1 Pb 3.06, 2 Sm 3.31
Sm 0.0950 0.5672 0.2428  1 Pb 3.06, 2 Sm 3.31
Sm 0.7500 0.5000 0.5000  8 Sm 3.23-3.31
Sm 0.9961 0.2539 0.2539  3 Sm 3.23-3.31, 2 Pb 3.25, 1 Pr 3.33
Sm 0.0039 0.7461 0.7461  3 Sm 3.23-3.31, 2 Pb 3.25, 1 Pr 3.33
Sm 0.5039 0.7461 0.7461  3 Sm 3.23-3.31, 2 Pb 3.25, 1 Pr 3.33

Record 3
VASP calculation (PBE-GGA) on a geometry-optimized LiYIO2 structure.

Calculated values
Energy above the lowest structure with this stoichiometry   816 meV/atom
SG   P4/mmm, No. 123

Unit cell a=4.2363 b=4.2363 c=4.6265 alpha=90.00 beta=90.00 gamma=90.00
With the nearest neighbours (Å) after each atom.
Fractional positions:
O 0.5000 0.0000 0.0000  2 Li 2.12
O 0.0000 0.5000 0.0000  2 Li 2.12
I 0.0000 0.0000 0.5000  2 Li 2.31
Li 0.0000 0.0000 0.0000  4 O 2.12, 2 I 2.31
Y 0.5000 0.5000 0.5000  4 I 3.00, 8 O 3.14

Record 4
VASP calculation (PBE-GGA) on a geometry-optimized Th2UAs3Ir4 structure.

Calculated values
Calculated formation energy   -0.70 eV per atom
SG   P-4m2, No. 115

Unit cell a=4.1641 b=4.1641 c=11.4352 alpha=90.00 beta=90.00 gamma=90.00
With the nearest neighbours (Å) after each atom.
Fractional positions:
As 0.0000 0.0000 0.5000  4 Ir 2.77, 4 U 2.94
As 0.0000 0.5000 0.1273  5 Ir 2.44-2.54
As 0.5000 0.0000 0.8727  5 Ir 2.44-2.54
Ir 0.5000 0.5000 0.0000  4 As 2.54
Ir 0.5000 0.0000 0.6595  1 As 2.44
Ir 0.0000 0.5000 0.3405  1 As 2.44
Ir 0.0000 0.0000 0.0000  4 As 2.54
Th 0.0000 0.5000 0.7709  4 As 3.17, 8 Ir 3.21-3.35
Th 0.5000 0.0000 0.2291  4 As 3.17, 8 Ir 3.21-3.35
U 0.5000 0.5000 0.5000  4 Ir 2.77, 4 As 2.94

Record 5
VASP calculation (PBE-GGA) on a geometry-optimized NaPrInAu structure.

Calculated values
Calculated formation energy   -0.40 eV per atom
SG   F-43m, No. 216

Unit cell a=5.2508 b=5.2508 c=5.2508 alpha=60.00 beta=60.00 gamma=60.00
With the nearest neighbours (Å) after each atom.
Fractional positions:
Na 0.2500 0.2500 0.2500  4 Au 3.22, 4 In 3.22
Au 0.0000 0.0000 0.0000  4 Pr 3.22, 4 Na 3.22
In 0.5000 0.5000 0.5000  4 Na 3.22, 4 Pr 3.22
Pr 0.7500 0.7500 0.7500  4 Au 3.22, 4 In 3.22

Record 6
VASP calculation (PBE-GGA) on a geometry-optimized CoCuSn5 structure.

Calculated values
Calculated formation energy   0.08 eV per atom
SG   C2/c, No. 15

Unit cell a=6.5645 b=6.5645 c=9.5258 alpha=69.52 beta=69.52 gamma=64.28
With the nearest neighbours (Å) after each atom.
Fractional positions:
Sn 0.9486 0.0514 0.2500  2 Co 2.41
Sn 0.0514 0.9486 0.7500  2 Co 2.41
Sn 0.7726 0.4386 0.4791  1 Co 2.58, 1 Cu 2.74
Sn 0.8690 0.6556 0.1230  1 Co 2.52, 1 Cu 2.70
Sn 0.6556 0.8690 0.6230  1 Co 2.52, 1 Cu 2.70
Sn 0.1310 0.3444 0.8770  1 Co 2.52, 1 Cu 2.70
Sn 0.5614 0.2274 0.0209  1 Co 2.58, 1 Cu 2.74
Sn 0.2274 0.5614 0.5209  1 Co 2.58, 1 Cu 2.74
Sn 0.4386 0.7726 0.9791  1 Co 2.58, 1 Cu 2.74
Sn 0.3444 0.1310 0.3770  1 Co 2.52, 1 Cu 2.70
Cu 0.4646 0.5354 0.7500  7 Sn 2.70-3.02
Cu 0.5354 0.4646 0.2500  7 Sn 2.70-3.02
Co 0.0000 0.0000 0.5000  6 Sn 2.41-2.58
Co 0.0000 0.0000 0.0000  6 Sn 2.41-2.58

Record 7
VASP calculation (PBE-GGA) on a geometry-optimized MgPd structure.

Calculated values
Calculated formation energy   -0.56 eV per atom
SG   P6/mmm, No. 191

Unit cell a=5.5871 b=5.5871 c=4.3226 alpha=90.00 beta=90.00 gamma=120.00
With the nearest neighbours (Å) after each atom.
Fractional positions:
Mg 0.3333 0.6667 0.5000  6 Pd 2.70
Mg 0.0000 0.0000 0.0000  6 Pd 2.79
Mg 0.6667 0.3333 0.5000  6 Pd 2.70
Pd 0.0000 0.5000 0.0000  6 Mg 2.70-2.79, 4 Pd 2.79
Pd 0.5000 0.5000 0.0000  6 Mg 2.70-2.79, 4 Pd 2.79
Pd 0.5000 0.0000 0.0000  6 Mg 2.70-2.79, 4 Pd 2.79

Record 8
VASP calculation (PBE-GGA) on a geometry-optimized Th3Sb2Au4 structure.

Calculated values
Final energy   -5.570 eV/atom
SG   C2/m, No. 12

Unit cell a=4.7209 b=6.2342 c=9.0442 alpha=69.75 beta=74.87 gamma=67.75
With the nearest neighbours (Å) after each atom.
Fractional positions:
Th 0.0000 0.0000 0.0000  4 Au 3.07-3.13, 4 Sb 3.36
Th 0.6666 0.3309 0.3358  4 Au 3.08-3.16, 3 Sb 3.31-3.33
Th 0.3334 0.6691 0.6642  4 Au 3.08-3.16, 3 Sb 3.31-3.33
Sb 0.6182 0.0432 0.7204  3 Au 2.86-2.87
Sb 0.3818 0.9568 0.2796  3 Au 2.86-2.87
Au 0.2341 0.4465 0.0853  3 Au 2.77-2.94, 1 Sb 2.87, 1 Th 3.07
Au 0.0088 0.3332 0.6491  2 Au 2.78-2.94, 2 Sb 2.86, 2 Th 3.08
Au 0.7659 0.5535 0.9147  3 Au 2.77-2.94, 1 Sb 2.87, 1 Th 3.07
Au 0.9912 0.6668 0.3509  2 Au 2.78-2.94, 2 Sb 2.86, 2 Th 3.08

| no. | volume (Å³ per cell) |
| --- | --- |
| 1 | 53 |
| 2 | 689 |
| 3 | 83 |
| 4 | 198 |
| 5 | 102 |
| 6 | 337 |
| 7 | 117 |
| 8 | 229 |